NdPd2Pt: relaxed, GGA-PBE.

Output
electronic total energy: -0.43708 Ry per atom
calculated volume: 18.95 A^3/atom
calculated formation energy: -0.648 eV/atom
magnetization: 0.00 Bohr magnetons per cell
relative energy among the computed polymorphs: 154.4 meV/atom

abc: 4.750 4.750 4.750
angles: 60.00 60.00 60.00
Atoms (fractional coordinates):
Pt  0.000  0.000  0.000
Pd  0.250  0.250  0.250
Pd  0.750  0.750  0.750
Nd  0.500  0.500  0.500